Material: MgNiRh2
Method: DFT, PBE
State: relaxed Values from VASP.

## Properties
Total magnetization ... 0.01 μB/atom

The structure in Quantum ESPRESSO input format:
```
&SYSTEM
  ibrav = 0, nat = 4, ntyp = 3
/
ATOMIC_SPECIES
Mg 24.30 Mg.upf
Ni 58.69 Ni.upf
Rh 102.91 Rh.upf
CELL_PARAMETERS angstrom
-0.2063 2.4425 -1.3002
-1.5423 -1.1841 -1.9794
-6.0879 1.5252 3.8311
ATOMIC_POSITIONS angstrom
Mg -3.0955 0.7755 1.9479
Ni -5.5160 1.7921 1.2812
Rh -6.0296 1.5106 3.7944
Rh -2.3273 0.9932 -0.7254
```

Material: MgNiRh
Method: DFT, PBE
State: relaxed Values from VASP.

## Properties
Total magnetization ... 0.35 μB/atom
E above lowest polymorph ... 0.369 eV per atom

The structure in Quantum ESPRESSO input format:
```
&SYSTEM
  ibrav = 0, nat = 3, ntyp = 3
/
ATOMIC_SPECIES
Mg 24.30 Mg.upf
Ni 58.69 Ni.upf
Rh 102.91 Rh.upf
CELL_PARAMETERS angstrom
4.0917 0.0000 0.0000
2.0459 3.5436 0.0000
2.0459 1.1812 3.3409
ATOMIC_POSITIONS angstrom
Mg 4.0917 2.3624 1.6704
Ni 6.1376 3.5436 2.5057
Rh 0.0000 0.0000 0.0000
```

Material: MgNiRh2
Method: DFT, PBE
State: relaxed Values from VASP.

## Properties
Total magnetization ... 0.00 μB/atom

The structure in Quantum ESPRESSO input format:
```
&SYSTEM
  ibrav = 0, nat = 4, ntyp = 3
/
ATOMIC_SPECIES
Mg 24.30 Mg.upf
Ni 58.69 Ni.upf
Rh 102.91 Rh.upf
CELL_PARAMETERS angstrom
3.2507 0.0000 0.0000
0.0000 4.1104 0.0000
0.0000 0.0000 4.1104
ATOMIC_POSITIONS angstrom
Mg 1.6254 2.0552 0.0000
Ni 1.6254 0.0000 2.0552
Rh 0.0000 0.0000 0.0000
Rh 0.0000 2.0552 2.0552
```

Material: MgNiRh2
Method: DFT, PBE
State: relaxed Values from VASP.

## Properties
Total magnetization ... 0.27 μB/atom

The structure in Quantum ESPRESSO input format:
```
&SYSTEM
  ibrav = 0, nat = 4, ntyp = 3
/
ATOMIC_SPECIES
Mg 24.30 Mg.upf
Ni 58.69 Ni.upf
Rh 102.91 Rh.upf
CELL_PARAMETERS angstrom
-0.3040 -4.5156 0.7516
-0.7144 -1.9273 -4.1016
3.2325 2.9782 1.3150
ATOMIC_POSITIONS angstrom
Mg 1.0045 -1.0853 -2.2308
Ni 1.2097 -2.3794 0.1958
Rh 0.0000 0.0000 0.0000
Rh -0.5092 -3.2215 -1.6750
```

Material: Mg6Ni2Rh
Method: DFT, PBE
State: relaxed Values from VASP.

## Properties
Total magnetization ... 0.00 μB/atom

The structure in Quantum ESPRESSO input format:
```
&SYSTEM
  ibrav = 0, nat = 18, ntyp = 3
/
ATOMIC_SPECIES
Mg 24.30 Mg.upf
Ni 58.69 Ni.upf
Rh 102.91 Rh.upf
CELL_PARAMETERS angstrom
6.9203 0.0493 -2.6486
-3.5771 6.1480 -2.0773
-0.1934 -0.0493 7.4073
ATOMIC_POSITIONS angstrom
Mg 1.0011 4.4361 3.1201
Mg 2.1487 1.7118 -0.4387
Mg -0.4952 1.6626 5.2352
Mg 3.6449 4.4854 -2.5538
Mg 2.7780 4.6397 0.4406
Mg 0.3718 1.5082 2.2408
Mg -1.5338 4.5905 4.9346
Mg 4.6836 1.5575 -2.2532
Mg 3.4462 2.3431 2.2623
Mg -0.2964 3.8049 0.4191
Mg -1.5581 5.8455 2.2025
Mg 4.7078 0.3025 0.4789
Ni 1.9664 2.2596 4.3542
Ni 1.1834 3.8883 -1.6728
Ni 4.3669 0.0000 3.0892
Ni 2.3600 0.0000 1.6695
Rh -1.8853 3.0493 2.6650
Rh 0.0000 0.0000 0.0000
```

Material: MgNiRh2
Method: DFT, PBE
State: relaxed Values from VASP.

## Properties
Total magnetization ... 0.00 μB/atom

The structure in Quantum ESPRESSO input format:
```
&SYSTEM
  ibrav = 0, nat = 4, ntyp = 3
/
ATOMIC_SPECIES
Mg 24.30 Mg.upf
Ni 58.69 Ni.upf
Rh 102.91 Rh.upf
CELL_PARAMETERS angstrom
-1.1328 -2.3997 0.7692
0.5634 -1.3870 -3.4974
4.8197 -1.7978 1.4894
ATOMIC_POSITIONS angstrom
Mg 2.4365 -0.9088 0.7530
Ni 3.3815 -3.2609 -0.2312
Rh 4.7927 -1.7877 1.4811
Rh 0.8692 -2.3238 -1.0075
```

Material: MgNi2Rh
Method: DFT, PBE
State: relaxed Values from VASP.

## Properties
Total magnetization ... 0.26 μB/atom

The structure in Quantum ESPRESSO input format:
```
&SYSTEM
  ibrav = 0, nat = 4, ntyp = 3
/
ATOMIC_SPECIES
Mg 24.30 Mg.upf
Ni 58.69 Ni.upf
Rh 102.91 Rh.upf
CELL_PARAMETERS angstrom
-2.2660 3.8929 0.7683
-3.0753 2.9549 -1.6405
-3.8041 -1.5714 1.8900
ATOMIC_POSITIONS angstrom
Mg -2.2554 1.3559 0.2297
Ni -3.8183 -1.5143 1.8726
Ni -6.8312 3.9424 0.7598
Rh -4.6174 2.5593 0.5546
```

Material: Mg2Ni2Rh
Method: DFT, PBE
State: relaxed Values from VASP.

## Properties
Total magnetization ... 0.13 μB/atom
E above lowest polymorph ... 0.000 eV per atom

The structure in Quantum ESPRESSO input format:
```
&SYSTEM
  ibrav = 0, nat = 10, ntyp = 3
/
ATOMIC_SPECIES
Ni 58.69 Ni.upf
Mg 24.30 Mg.upf
Rh 102.91 Rh.upf
CELL_PARAMETERS angstrom
6.2588 0.0000 0.0000
0.0000 6.2588 0.0000
0.0000 0.0000 3.8307
ATOMIC_POSITIONS angstrom
Ni 2.3421 5.4715 0.0000
Ni 5.4715 3.9167 0.0000
Ni 3.9167 0.7873 0.0000
Ni 0.7873 2.3421 0.0000
Mg 1.1157 4.2451 1.9153
Mg 4.2451 5.1430 1.9153
Mg 5.1430 2.0137 1.9153
Mg 2.0137 1.1157 1.9153
Rh 0.0000 0.0000 0.0000
Rh 3.1294 3.1294 0.0000
```

| no. | energy of formation from the pure elements (eV per formula unit) |
| --- | --- |
| 1 | -0.4 |
| 2 | 0.3 |
| 3 | -0.7 |
| 4 | -0.6 |
| 5 | -2.1 |
| 6 | -0.5 |
| 7 | -0.4 |
| 8 | -0.7 |